1.
Material: BeSi2I
Method: DFT, PBE
State: relaxed

Lattice parameters (Å, degrees): 4.7521 4.7521 4.7521 60.00 60.00 60.00
Element x y z (fractional)
Be: 0.0000 0.0000 0.0000
Si: 0.2500 0.2500 0.2500
Si: 0.7500 0.7500 0.7500
I: 0.5000 0.5000 0.5000

Computed properties:
Raw formation energy ... 1.207 eV per atom


2.
Material: BeSiI2
Method: DFT, PBE
State: relaxed

Lattice parameters (Å, degrees): 6.4963 6.4963 6.4963 110.40 110.40 107.62
Element x y z (fractional)
Be: 0.0000 0.0000 0.0000
Be: 0.7500 0.2500 0.5000
Si: 0.2500 0.7500 0.5000
Si: 0.5000 0.5000 0.0000
I: 0.0670 0.1250 0.4420
I: 0.3750 0.9330 0.0580
I: 0.6830 0.6250 0.5580
I: 0.8750 0.3170 0.9420

Computed properties:
Raw formation energy ... 0.668 eV per atom


3.
Material: BeSi2I
Method: DFT, PBE
State: relaxed

Lattice parameters (Å, degrees): 3.8861 3.8861 7.0744 90.00 90.00 120.00
Element x y z (fractional)
Be: 0.0000 0.0000 0.0000
Si: 0.0000 0.0000 0.3099
Si: 0.6667 0.3333 0.4003
I: 0.3333 0.6667 0.8350

Computed properties:
Raw formation energy ... 0.213 eV per atom


4.
Material: BeSiI2
Method: DFT, PBE
State: relaxed

Lattice parameters (Å, degrees): 5.1330 5.1330 5.1330 60.00 60.00 60.00
Element x y z (fractional)
Be: 0.0000 0.0000 0.0000
Si: 0.5000 0.5000 0.5000
I: 0.2500 0.2500 0.2500
I: 0.7500 0.7500 0.7500

Computed properties:
Raw formation energy ... 0.920 eV per atom


- What is the formula in the first record?
  BeSi2I


Repeat the fourth record exactly.
Material: BeSiI2
Method: DFT, PBE
State: relaxed

Lattice parameters (Å, degrees): 5.1330 5.1330 5.1330 60.00 60.00 60.00
Element x y z (fractional)
Be: 0.0000 0.0000 0.0000
Si: 0.5000 0.5000 0.5000
I: 0.2500 0.2500 0.2500
I: 0.7500 0.7500 0.7500

Computed properties:
Raw formation energy ... 0.920 eV per atom


- Number 1 is which compound?
  BeSi2I